Entry 1:
Below is Hf4TlCd2 after structural relaxation, with properties calculated at the PBE-GGA level.

The structure in POSCAR format:
```
Hf4TlCd2
1.0
-1.550 0.452 -2.651
-1.035 -2.907 0.109
-12.777 6.511 8.582
Tl Hf Cd
1 4 2
Cartesian
-0.518 -1.454 0.055
-2.754 0.979 -0.040
-9.612 3.657 6.244
-12.608 3.077 6.079
-4.201 -0.053 2.447
-6.386 2.361 2.319
-8.977 1.696 3.721
```

Summary:
Density, Mg/m³: 11.9
Energy of formation, eV/atom: -0.02

Entry 2:
Below is Li2TiPt3 after structural relaxation, with properties calculated at the PBE-GGA level.

The structure in POSCAR format:
```
Li2TiPt3
1.0
-2.443 4.952 -3.453
-1.680 -5.283 3.417
-0.344 3.683 5.524
Li Ti Pt
4 2 6
Cartesian
0.000 0.000 0.000
-0.172 1.841 2.762
-2.102 -0.089 3.929
-2.365 3.441 1.559
-1.941 -1.776 1.063
-2.182 1.445 -1.099
-2.576 6.030 1.854
-2.151 0.790 1.416
-1.891 -2.679 3.634
-2.401 4.158 -0.955
-2.066 -0.806 6.443
-2.316 2.561 4.073
```

Summary:
Density, Mg/m³: 12.7
Energy of formation, eV/atom: -0.79

Entry 3:
Below is YBeSe3 after structural relaxation, with properties calculated at the PBE-GGA level.

The structure in POSCAR format:
```
YBeSe3
1.0
4.683 0.000 0.000
0.000 4.683 0.000
0.000 0.000 4.683
Y Be Se
1 1 3
Cartesian
2.341 2.341 2.341
0.000 0.000 0.000
0.000 2.341 0.000
0.000 0.000 2.341
2.341 0.000 0.000
```

Summary:
Energy relative to the lowest polymorph listed for this composition, kJ/mol of formula units: 0.0
Density, Mg/m³: 5.4
Formation energy from raw total energies, eV/atom: -0.647

Entry 4:
Below is TmVGa after structural relaxation, with properties calculated at the PBE-GGA level.

The structure in POSCAR format:
```
TmVGa
1.0
-0.726 -3.564 2.939
4.211 -3.004 1.118
0.363 1.458 5.578
Tm V Ga
2 2 2
Cartesian
3.113 -3.513 3.950
0.735 -1.598 5.685
0.210 -3.561 3.174
3.638 -1.549 6.461
1.609 -1.398 2.423
2.238 -3.712 7.212
```

Summary:
Density, Mg/m³: 8.2
Energy of formation, eV/atom: -0.18